First-principles (PBE with a Hubbard U) data for a relaxed structure of Tm5V2O12, as listed in Alexandria via LeMat-Bulk.

Summary:
DFT total energy = -8.22 eV/atom
Total magnetization = 1.0 μB per formula unit
SG = No. 12

Lattice parameters (Å, degrees): 5.725 6.674 7.211 105.78 90.00 115.40
Last column: magnetic moment on the atom in μB.
Fractional positions:
O1 0.421 0.323 0.081  -0.02
Tm1 0.695 0.391 0.359  0.00
Tm2 0.689 0.378 0.828  0.00
Tm3 0.305 0.609 0.641  0.00
O2 0.596 0.694 0.425  0.00
O3 0.000 0.000 0.189  -0.03
O4 0.903 0.323 0.081  -0.02
O5 0.903 0.306 0.575  0.00
O6 0.404 0.306 0.575  0.00
Tm4 0.311 0.622 0.172  0.00
V1 0.233 0.000 0.000  0.57
O7 0.579 0.677 0.919  -0.02
O8 0.000 0.000 0.811  -0.03
O9 0.500 0.000 0.818  -0.01
Tm5 0.000 0.000 0.500  0.02
O10 0.097 0.694 0.425  0.00
O11 0.097 0.677 0.919  -0.02
V2 0.767 0.000 0.000  0.57
O12 0.500 0.000 0.182  -0.01